# As2RuPt | Alexandria via LeMat-Bulk | GGA-PBE | relaxed
# Symmetry: I4/mmm
# Crystal system: tetragonal
# ΔE to the lowest computed polymorph, meV/atom: 270.8
# Fermi-level density of states, states/eV/cell: 3.987
# E, eV/atom: -6.034
# ρ, kg/m3: 11722
data_As2RuPt
_chemical_formula_sum 'As2 Ru1 Pt1'
_cell_length_a 4.622
_cell_length_b 4.622
_cell_length_c 4.622
_cell_angle_alpha 125.38
_cell_angle_beta 125.47
_cell_angle_gamma 80.83
_space_group_name_H-M_alt 'P 1'
_space_group_IT_number 1
_space_group_name_Hall 'P 1'
loop_
_atom_site_label
_atom_site_fract_x
_atom_site_fract_y
_atom_site_fract_z
Ru1 0.250 0.750 0.500
As1 0.500 0.500 0.000
As2 0.000 0.000 0.000
Pt1 0.750 0.250 0.500



# AsRuPt | Alexandria via LeMat-Bulk | GGA-PBE | relaxed
# Symmetry: I4mm
# Crystal system: tetragonal
# ΔE to the lowest computed polymorph, meV/atom: 243.4
# Fermi-level density of states, states/eV/cell: 3.464
# E, eV/atom: -6.578
# ρ, kg/m3: 13459
data_AsRuPt
_chemical_formula_sum 'As1 Ru1 Pt1'
_cell_length_a 5.443
_cell_length_b 5.443
_cell_length_c 5.443
_cell_angle_alpha 147.74
_cell_angle_beta 147.74
_cell_angle_gamma 46.27
_space_group_name_H-M_alt 'P 1'
_space_group_IT_number 1
_space_group_name_Hall 'P 1'
loop_
_atom_site_label
_atom_site_fract_x
_atom_site_fract_y
_atom_site_fract_z
Ru1 0.645 0.645 0.000
Pt1 0.343 0.343 0.000
As1 0.012 0.012 0.000